The following is a DFT calculation (PBE-GGA) of BaErClO2 after structural relaxation.

Properties
- Total moment: 0.0 Bohr magnetons per cell
- Formation energy (no corrections): -2968 meV/atom

Cell lengths 4.2252, 4.2252, 6.5644 Å; angles 90.00, 90.00, 90.00 degrees
Last column: nearest neighbours and their distance in Å.
Atoms (fractional coordinates):
Ba: 0.5000 0.5000 0.6931  4 O 2.60
Er: 0.0000 0.0000 0.0248  4 O 2.21
Cl: 0.0000 0.0000 0.4350  1 Er 2.69
O: 0.0000 0.5000 0.9235  2 Er 2.21
O: 0.5000 0.0000 0.9235  2 Er 2.21

---

The following is a DFT calculation (PBE-GGA) of RbBaErCl6 after structural relaxation.

Properties
- Total moment: 0.0 Bohr magnetons per cell
- Formation energy (no corrections): -2314 meV/atom

Cell lengths 7.6613, 7.6613, 13.4094 Å; angles 90.00, 90.00, 120.00 degrees
Last column: nearest neighbours and their distance in Å.
Atoms (fractional coordinates):
Rb: 0.0000 0.0000 0.0000  6 Cl 3.38
Rb: 0.0000 0.0000 0.5000  6 Cl 3.38
Ba: 0.3333 0.6667 0.2500  6 Cl 3.10
Ba: 0.6667 0.3333 0.7500  6 Cl 3.10
Er: 0.6667 0.3333 0.2500  6 Cl 2.64
Er: 0.3333 0.6667 0.7500  6 Cl 2.64
Cl: 0.6550 0.6102 0.1380  1 Er 2.64
Cl: 0.9552 0.3450 0.1380  1 Er 2.64
Cl: 0.3450 0.9552 0.6380  1 Er 2.64
Cl: 0.0448 0.6550 0.8620  1 Er 2.64
Cl: 0.3898 0.3450 0.3620  1 Er 2.64
Cl: 0.9552 0.6102 0.3620  1 Er 2.64
Cl: 0.6102 0.9552 0.8620  1 Er 2.64
Cl: 0.6550 0.0448 0.3620  1 Er 2.64
Cl: 0.0448 0.3898 0.6380  1 Er 2.64
Cl: 0.3898 0.0448 0.1380  1 Er 2.64
Cl: 0.6102 0.6550 0.6380  1 Er 2.64
Cl: 0.3450 0.3898 0.8620  1 Er 2.64

---

The following is a DFT calculation (PBE-GGA) of BaErTe2Cl after structural relaxation.

Properties
- Total moment: 0.0 Bohr magnetons per cell
- Formation energy (no corrections): -1811 meV/atom

Cell lengths 4.4701, 8.9587, 9.4244 Å; angles 104.93, 90.00, 90.00 degrees
Last column: nearest neighbours and their distance in Å.
Atoms (fractional coordinates):
Ba: 0.2500 0.7329 0.3162  2 Cl 3.17, 2 Te 3.54
Ba: 0.7500 0.2671 0.6838  2 Cl 3.17, 2 Te 3.54
Er: 0.2500 0.8322 0.8268  1 Cl 2.66
Er: 0.7500 0.1678 0.1732  1 Cl 2.66
Te: 0.7500 0.8581 0.6149  2 Er 3.05
Te: 0.7500 0.8138 0.0498  3 Er 3.08-3.10
Te: 0.2500 0.1419 0.3851  2 Er 3.05
Te: 0.2500 0.1862 0.9502  3 Er 3.08-3.10
Cl: 0.2500 0.5256 0.7313  1 Er 2.66
Cl: 0.7500 0.4744 0.2687  1 Er 2.66